[1]
Material: Mg4In5Ag
Method: DFT, GGA-PBE
State: optimized geometry Values from VASP.

Summary:
As for the symmetry: P4/mmm (123). The spin magnetization is 0.00 μB per cell. The value obtained for the total energy is -2.346 eV/atom. For the calculated volume, the calculation gives 23.2 Å³ per atom. The value obtained for the formation energy is -0.054 eV per atom.

Cell and atoms, written as Quantum ESPRESSO input:
```
&SYSTEM
  ibrav = 0, nat = 10, ntyp = 3
/
ATOMIC_SPECIES
Mg 24.30 Mg.upf
In 114.82 In.upf
Ag 107.87 Ag.upf
ATOMIC_POSITIONS crystal
Mg 0.000 0.000 0.102
Mg 0.000 0.000 0.306
Mg 0.000 0.000 0.694
Mg 0.000 0.000 0.898
In 0.500 0.500 0.000
In 0.500 0.500 0.205
In 0.500 0.500 0.408
In 0.500 0.500 0.592
In 0.500 0.500 0.795
Ag 0.000 0.000 0.500
CELL_PARAMETERS angstrom
3.512 0.000 0.000
0.000 3.512 0.000
0.000 0.000 18.828
```

[2]
Material: Mg5In2Ag2
Method: DFT, GGA-PBE
State: optimized geometry Values from VASP.

Summary:
As for the symmetry: C2/m (12). The value obtained for the energy above the most stable polymorph in this dataset is 12 meV/atom. The spin magnetization is 0.00 μB per cell. The value obtained for the total energy is -2.194 eV/atom. For the calculated volume, the calculation gives 22.1 Å³ per atom. The value obtained for the formation energy is -0.066 eV per atom.

Cell and atoms, written as Quantum ESPRESSO input:
```
&SYSTEM
  ibrav = 0, nat = 9, ntyp = 3
/
ATOMIC_SPECIES
Mg 24.30 Mg.upf
In 114.82 In.upf
Ag 107.87 Ag.upf
ATOMIC_POSITIONS crystal
Mg 0.000 0.000 0.000
Mg 0.080 0.080 0.677
Mg 0.386 0.386 0.808
Mg 0.614 0.614 0.192
Mg 0.920 0.920 0.323
In 0.224 0.224 0.394
In 0.776 0.776 0.606
Ag 0.317 0.317 0.103
Ag 0.683 0.683 0.897
CELL_PARAMETERS angstrom
4.864 -2.277 0.000
4.864 2.277 0.000
-1.295 0.000 8.980
```

[3]
Material: MgIn2Ag3
Method: DFT, GGA-PBE
State: optimized geometry Values from VASP.

Summary:
As for the symmetry: Cmc2_1 (36). The spin magnetization is 0.00 μB per cell. The value obtained for the total energy is -2.612 eV/atom. For the calculated volume, the calculation gives 21.4 Å³ per atom. The value obtained for the formation energy is -0.008 eV per atom.

Cell and atoms, written as Quantum ESPRESSO input:
```
&SYSTEM
  ibrav = 0, nat = 12, ntyp = 3
/
ATOMIC_SPECIES
Mg 24.30 Mg.upf
In 114.82 In.upf
Ag 107.87 Ag.upf
ATOMIC_POSITIONS crystal
Mg 0.135 0.865 0.500
Mg 0.865 0.135 0.000
In 0.239 0.396 0.283
In 0.396 0.239 0.783
In 0.604 0.761 0.283
In 0.761 0.604 0.783
Ag 0.136 0.496 0.768
Ag 0.138 0.862 0.022
Ag 0.496 0.136 0.268
Ag 0.504 0.864 0.768
Ag 0.862 0.138 0.522
Ag 0.864 0.504 0.268
CELL_PARAMETERS angstrom
4.031 -5.467 0.000
4.031 5.467 0.000
0.000 0.000 5.822
```